No. 1
Material: SbOsPt2
Method: DFT, meta-GGA SCAN
State: PBEsol geometry

Values from the calculation:
Volume, Å³/cell: 66
VASP energy, eV/atom: -61.991
Formation energy (no corrections), kJ/mol of atoms: 37.71

POSCAR file:
```
SbOsPt2
1.0
-0.006 2.622 0.943
-1.056 -1.608 4.466
4.747 -0.348 0.997
Os Pt Sb
1 2 1
Cartesian
-0.003 1.311 0.471
2.373 -0.174 0.498
-0.528 -0.804 2.233
1.843 0.333 3.203
```

---

No. 2
Material: BaTlRh2
Method: DFT, meta-GGA SCAN
State: PBEsol geometry

Values from the calculation:
Volume, Å³/cell: 102
VASP energy, eV/atom: -45.065
Energy of formation, eV/atom: -0.202

POSCAR file:
```
BaTlRh2
1.0
4.653 0.000 0.000
-2.326 4.029 -0.037
0.000 -2.638 5.482
Tl Rh Ba
1 2 1
Cartesian
2.326 0.000 0.000
2.326 0.046 5.232
0.000 1.345 0.212
0.000 -1.319 2.741
```